# 1
PRuF2 | PBE-GGA | relaxed

Lattice parameters (Å, degrees): 9.7285 9.7285 9.7285 15.47 15.47 15.47
Last column: nearest neighbours and their distance in Å.
Element x y z (fractional)
Ru  0.5000  0.5000  0.5000  6 Ru 2.62
F  0.9426  0.9426  0.9426  1 P 1.66
F  0.0574  0.0574  0.0574  1 P 1.66
P  0.0000  0.0000  0.0000  2 F 1.66

Values from the calculation:
Theoretical density   4.9 g cm⁻³

---

# 2
P3RuF | PBE-GGA | relaxed

Lattice parameters (Å, degrees): 4.5636 4.5636 4.5636 90.00 90.00 90.00
Last column: nearest neighbours and their distance in Å.
Element x y z (fractional)
Ru  0.0000  0.0000  0.0000  6 P 2.28
F  0.5000  0.5000  0.5000  12 P 3.23
P  0.0000  0.5000  0.0000  2 Ru 2.28
P  0.0000  0.0000  0.5000  2 Ru 2.28
P  0.5000  0.0000  0.0000  2 Ru 2.28

Values from the calculation:
Theoretical density   3.7 g cm⁻³

---

# 3
PRu3F | PBE-GGA | relaxed

Lattice parameters (Å, degrees): 4.4005 4.4005 4.4005 90.00 90.00 90.00
Last column: nearest neighbours and their distance in Å.
Element x y z (fractional)
Ru  0.0000  0.5000  0.0000  2 P 2.20
Ru  0.0000  0.0000  0.5000  2 P 2.20
Ru  0.5000  0.0000  0.0000  2 P 2.20
F  0.5000  0.5000  0.5000  12 Ru 3.11
P  0.0000  0.0000  0.0000  6 Ru 2.20

Values from the calculation:
Theoretical density   6.9 g cm⁻³

---

# 4
P2RuSF | PBE-GGA | relaxed

Lattice parameters (Å, degrees): 4.5560 4.5560 4.6123 90.00 90.00 90.00
Last column: nearest neighbours and their distance in Å.
Element x y z (fractional)
Ru  0.0000  0.0000  0.0000  4 P 2.28, 2 S 2.31
S  0.0000  0.0000  0.5000  2 Ru 2.31
F  0.5000  0.5000  0.5000  4 S 3.22, 8 P 3.24
P  0.0000  0.5000  0.0000  2 Ru 2.28
P  0.5000  0.0000  0.0000  2 Ru 2.28

Values from the calculation:
Theoretical density   3.7 g cm⁻³

---

# 5
P2RuSF | PBE-GGA | relaxed

Lattice parameters (Å, degrees): 4.0423 4.0423 4.6322 90.00 90.00 90.00
Last column: nearest neighbours and their distance in Å.
Element x y z (fractional)
Ru  0.5000  0.5000  0.5000  4 S 2.86, 8 P 3.07
S  0.0000  0.0000  0.5000  2 F 2.32
F  0.0000  0.0000  0.0000  4 P 2.02
P  0.0000  0.5000  0.0000  2 F 2.02
P  0.5000  0.0000  0.0000  2 F 2.02

Values from the calculation:
Theoretical density   4.7 g cm⁻³

---

# 6
PRuS2F | PBE-GGA | relaxed

Lattice parameters (Å, degrees): 4.5559 4.5559 4.6077 90.00 90.00 90.00
Last column: nearest neighbours and their distance in Å.
Element x y z (fractional)
Ru  0.0000  0.0000  0.0000  4 S 2.28, 2 P 2.30
S  0.0000  0.5000  0.0000  2 Ru 2.28
S  0.5000  0.0000  0.0000  2 Ru 2.28
F  0.5000  0.5000  0.5000  4 P 3.22, 8 S 3.24
P  0.0000  0.0000  0.5000  2 Ru 2.30

Values from the calculation:
Theoretical density   3.7 g cm⁻³

---

Across the entries above, energy takes the values -20.69 -25.42 -31.81 -24.13 -21.46 -22.89 eV for the cell shown, respectively.